TiCrPO2 | PBE+U | optimized geometry

Results
**Offset from the most stable computed form**: 508 meV per atom
**Total DFT energy (no corrections)**: -6.903 eV per atom
**DOS at the Fermi energy**: 1.306 states/eV/cell

abc: 3.6655 7.0572 3.6655
angles: 90.00 90.00 90.00
Site moments in Bohr magnetons follow the coordinates.
Fractional positions:
1 Cr 0.0000 0.5000 0.0000  -2.10
2 O 0.0000 0.0000 0.5000  0.02
3 O 0.5000 0.0000 0.0000  0.01
4 P 0.5000 0.5000 0.5000  0.39
5 Ti 0.0000 0.0000 0.0000  0.05